No. 1
DFT (PBE) results for an optimized crystal structure of Ba2Ir2F. Values from VASP.

```
&SYSTEM
  ibrav = 0, nat = 5, ntyp = 3
/
ATOMIC_SPECIES
F 19.00 F.upf
Ba 137.33 Ba.upf
Ir 192.22 Ir.upf
ATOMIC_POSITIONS crystal
F 0.000 0.000 0.000
Ba 0.250 0.750 0.500
Ir 0.657 0.657 0.687
Ba 0.750 0.250 0.500
Ir 0.343 0.343 0.313
CELL_PARAMETERS angstrom
-0.898 5.878 1.038
-5.630 -1.183 1.829
-2.003 1.905 5.029
```

Calculated values
DOS(E_F): 0.9164 states/eV per atom
magnetization: 1.01 μB/cell
final energy: -5.019 eV per atom
volume: 27.96 Å³/atom
polymorph energy (0 for the lowest one): 0.0 kJ/mol of formula units
formation energy from raw total energies: -7.63 kcal/mol of atoms
SG: I4/mmm



No. 2
DFT (PBE) results for an optimized crystal structure of Ba6IrF. Values from VASP.

```
&SYSTEM
  ibrav = 0, nat = 8, ntyp = 3
/
ATOMIC_SPECIES
Ba 137.33 Ba.upf
Ir 192.22 Ir.upf
F 19.00 F.upf
ATOMIC_POSITIONS crystal
Ba 0.400 0.747 0.754
Ir 0.000 0.000 0.000
Ba 0.600 0.253 0.246
Ba 0.750 0.097 0.754
Ba 0.898 0.601 0.248
F 0.500 0.500 0.500
Ba 0.102 0.399 0.752
Ba 0.250 0.903 0.246
CELL_PARAMETERS angstrom
6.790 -0.017 3.556
2.444 6.329 3.561
-0.095 -0.109 8.512
```

Calculated values
DOS(E_F): 1.0746 states/eV per atom
magnetization: 0.00 μB/cell
final energy: -3.524 eV per atom
volume: 46.25 Å³/atom
formation energy from raw total energies: -17.08 kcal/mol of atoms
SG: P-1



No. 3
DFT (PBE) results for an optimized crystal structure of BaIrF3. Values from VASP.

```
&SYSTEM
  ibrav = 0, nat = 5, ntyp = 3
/
ATOMIC_SPECIES
F 19.00 F.upf
Ba 137.33 Ba.upf
Ir 192.22 Ir.upf
ATOMIC_POSITIONS crystal
F 0.500 0.000 0.000
Ba 0.500 0.500 0.500
F 0.000 0.000 0.500
F 0.000 0.500 0.000
Ir 0.000 0.000 0.000
CELL_PARAMETERS angstrom
4.471 0.000 0.000
0.000 4.471 0.000
0.000 0.000 4.471
```

Calculated values
DOS(E_F): 0.3662 states/eV per atom
magnetization: 0.00 μB/cell
final energy: -4.895 eV per atom
volume: 17.88 Å³/atom
polymorph energy (0 for the lowest one): 0.0 kJ/mol of formula units
formation energy from raw total energies: -37.25 kcal/mol of atoms
SG: Pm-3m



No. 4
DFT (PBE) results for an optimized crystal structure of Ba2IrF. Values from VASP.

```
&SYSTEM
  ibrav = 0, nat = 4, ntyp = 3
/
ATOMIC_SPECIES
Ba 137.33 Ba.upf
Ir 192.22 Ir.upf
F 19.00 F.upf
ATOMIC_POSITIONS crystal
Ba 0.250 0.250 0.250
Ir 0.500 0.500 0.500
F 0.000 0.000 0.000
Ba 0.750 0.750 0.750
CELL_PARAMETERS angstrom
-2.088 -1.655 4.538
0.864 2.700 4.433
-3.918 2.709 2.236
```

Calculated values
DOS(E_F): 0.0000 states/eV per atom
magnetization: 0.00 μB/cell
final energy: -4.812 eV per atom
volume: 25.76 Å³/atom
polymorph energy (0 for the lowest one): 48.1 kJ/mol of formula units
formation energy from raw total energies: -26.93 kcal/mol of atoms
SG: Fm-3m



No. 5
DFT (PBE) results for an optimized crystal structure of Ba2Ir2F. Values from VASP.

```
&SYSTEM
  ibrav = 0, nat = 10, ntyp = 3
/
ATOMIC_SPECIES
F 19.00 F.upf
Ba 137.33 Ba.upf
Ir 192.22 Ir.upf
ATOMIC_POSITIONS crystal
F 0.000 0.000 0.000
Ba 0.189 0.689 0.500
Ir 0.903 0.597 0.000
Ba 0.811 0.311 0.500
Ba 0.311 0.189 0.500
Ir 0.097 0.403 0.000
Ir 0.597 0.097 0.000
Ba 0.689 0.811 0.500
F 0.500 0.500 0.000
Ir 0.403 0.903 0.000
CELL_PARAMETERS angstrom
8.578 0.000 0.000
0.000 8.578 0.000
0.000 0.000 4.065
```

Calculated values
DOS(E_F): 0.0181 states/eV per atom
magnetization: 6.00 μB/cell
final energy: -4.972 eV per atom
volume: 29.91 Å³/atom
polymorph energy (0 for the lowest one): 22.5 kJ/mol of formula units
formation energy from raw total energies: -6.55 kcal/mol of atoms
SG: P4/mbm



No. 6
DFT (PBE) results for an optimized crystal structure of BaIrF2. Values from VASP.

```
&SYSTEM
  ibrav = 0, nat = 4, ntyp = 3
/
ATOMIC_SPECIES
F 19.00 F.upf
Ba 137.33 Ba.upf
Ir 192.22 Ir.upf
ATOMIC_POSITIONS crystal
F 0.218 0.218 0.218
Ba 0.000 0.000 0.000
Ir 0.500 0.500 0.500
F 0.782 0.782 0.782
CELL_PARAMETERS angstrom
-3.138 2.276 3.314
-4.879 1.385 -0.534
-4.181 -1.790 2.307
```

Calculated values
DOS(E_F): 0.4302 states/eV per atom
magnetization: 1.38 μB/cell
final energy: -4.804 eV per atom
volume: 17.95 Å³/atom
polymorph energy (0 for the lowest one): 153.2 kJ/mol of formula units
formation energy from raw total energies: -27.03 kcal/mol of atoms
SG: R-3m



No. 7
DFT (PBE) results for an optimized crystal structure of Ba2IrF. Values from VASP.

```
&SYSTEM
  ibrav = 0, nat = 8, ntyp = 3
/
ATOMIC_SPECIES
Ir 192.22 Ir.upf
F 19.00 F.upf
Ba 137.33 Ba.upf
ATOMIC_POSITIONS crystal
Ir 0.750 0.250 0.500
F 0.250 0.750 0.500
Ir 0.000 0.000 0.000
Ba 0.375 0.401 0.750
F 0.500 0.500 0.000
Ba 0.875 0.849 0.750
Ba 0.599 0.125 0.250
Ba 0.151 0.625 0.250
CELL_PARAMETERS angstrom
-5.382 -1.692 2.733
-1.412 -3.543 -4.974
-0.176 -8.068 1.848
```

Calculated values
DOS(E_F): 0.0000 states/eV per atom
magnetization: 0.00 μB/cell
final energy: -4.865 eV per atom
volume: 34.34 Å³/atom
polymorph energy (0 for the lowest one): 27.8 kJ/mol of formula units
formation energy from raw total energies: -28.14 kcal/mol of atoms
SG: I-42d



No. 8
DFT (PBE) results for an optimized crystal structure of BaIrF2. Values from VASP.

```
&SYSTEM
  ibrav = 0, nat = 4, ntyp = 3
/
ATOMIC_SPECIES
Ba 137.33 Ba.upf
F 19.00 F.upf
Ir 192.22 Ir.upf
ATOMIC_POSITIONS crystal
Ba 0.500 0.500 0.500
F 0.855 0.855 0.855
F 0.145 0.145 0.145
Ir 0.000 0.000 0.000
CELL_PARAMETERS angstrom
-1.569 3.973 -3.257
-0.636 -0.223 -5.329
-4.607 0.329 -2.743
```

Calculated values
DOS(E_F): 1.5654 states/eV per atom
magnetization: 1.00 μB/cell
final energy: -5.201 eV per atom
volume: 22.73 Å³/atom
polymorph energy (0 for the lowest one): 0.0 kJ/mol of formula units
formation energy from raw total energies: -36.19 kcal/mol of atoms
SG: R-3m



No. 9
DFT (PBE) results for an optimized crystal structure of BaIrF3. Values from VASP.

```
&SYSTEM
  ibrav = 0, nat = 5, ntyp = 3
/
ATOMIC_SPECIES
F 19.00 F.upf
Ba 137.33 Ba.upf
Ir 192.22 Ir.upf
ATOMIC_POSITIONS crystal
F 0.000 0.000 0.500
Ba 0.000 0.000 0.000
F 0.500 0.000 0.000
Ir 0.500 0.500 0.500
F 0.000 0.500 0.000
CELL_PARAMETERS angstrom
5.059 0.000 0.000
0.000 5.059 0.000
0.000 0.000 5.059
```

Calculated values
DOS(E_F): 4.2322 states/eV per atom
magnetization: 2.45 μB/cell
final energy: -4.407 eV per atom
volume: 25.90 Å³/atom
polymorph energy (0 for the lowest one): 235.5 kJ/mol of formula units
formation energy from raw total energies: -25.99 kcal/mol of atoms
SG: Pm-3m



No. 10
DFT (PBE) results for an optimized crystal structure of Ba2IrF. Values from VASP.

```
&SYSTEM
  ibrav = 0, nat = 4, ntyp = 3
/
ATOMIC_SPECIES
Ba 137.33 Ba.upf
F 19.00 F.upf
Ir 192.22 Ir.upf
ATOMIC_POSITIONS crystal
Ba 0.751 0.751 0.747
F 0.500 0.500 0.500
Ir 0.000 0.000 0.000
Ba 0.249 0.249 0.253
CELL_PARAMETERS angstrom
4.395 0.000 0.000
2.197 3.806 0.000
2.197 1.269 6.949
```

Calculated values
DOS(E_F): 0.6413 states/eV per atom
magnetization: 0.00 μB/cell
final energy: -4.937 eV per atom
volume: 29.06 Å³/atom
polymorph energy (0 for the lowest one): 0.0 kJ/mol of formula units
formation energy from raw total energies: -29.80 kcal/mol of atoms
SG: R-3m



No. 11
DFT (PBE) results for an optimized crystal structure of BaIrF6. Values from VASP.

```
&SYSTEM
  ibrav = 0, nat = 8, ntyp = 3
/
ATOMIC_SPECIES
Ba 137.33 Ba.upf
F 19.00 F.upf
Ir 192.22 Ir.upf
ATOMIC_POSITIONS crystal
Ba 0.500 0.500 0.500
F 0.972 0.623 0.220
F 0.818 0.029 0.779
Ir 0.000 0.000 0.000
F 0.028 0.377 0.780
F 0.621 0.185 0.220
F 0.379 0.815 0.780
F 0.182 0.971 0.221
CELL_PARAMETERS angstrom
5.621 0.012 0.010
2.830 4.849 0.002
2.836 1.618 5.283
```

Calculated values
DOS(E_F): 1.3277 states/eV per atom
magnetization: 1.01 μB/cell
final energy: -5.169 eV per atom
volume: 17.96 Å³/atom
formation energy from raw total energies: -55.75 kcal/mol of atoms
SG: P-1



No. 12
DFT (PBE) results for an optimized crystal structure of BaLiIrF6. Values from VASP.

```
&SYSTEM
  ibrav = 0, nat = 9, ntyp = 4
/
ATOMIC_SPECIES
F 19.00 F.upf
Ir 192.22 Ir.upf
Ba 137.33 Ba.upf
Li 6.94 Li.upf
ATOMIC_POSITIONS crystal
F 0.700 0.972 0.297
Ir 0.500 0.000 0.000
Ba 0.000 0.333 0.667
F 0.700 0.703 0.675
F 0.700 0.325 0.028
F 0.300 0.972 0.675
Li 0.500 0.667 0.333
F 0.300 0.703 0.028
F 0.300 0.325 0.297
CELL_PARAMETERS angstrom
-5.242 -0.386 -2.098
1.948 -2.569 -4.394
-1.539 -2.866 4.373
```

Calculated values
DOS(E_F): 0.0000 states/eV per atom
magnetization: 0.20 μB/cell
final energy: -5.214 eV per atom
volume: 16.18 Å³/atom
formation energy from raw total energies: -58.94 kcal/mol of atoms
SG: P312